# CeTmCl6 (PBE-GGA, relaxed)
data_CeTmCl6
_cell_length_a 6.8091
_cell_length_b 6.8091
_cell_length_c 18.6544
_cell_angle_alpha 90.00
_cell_angle_beta 90.00
_cell_angle_gamma 120.00
_space_group_name_H-M_alt 'R -3'
_space_group_IT_number 148
_space_group_name_Hall '-R 3'
loop_
_atom_site_label
_atom_site_fract_x
_atom_site_fract_y
_atom_site_fract_z
Ce1 0.0000 0.0000 0.0000
Tm1 0.0000 0.0000 0.5000
Cl1 0.0122 0.6530 0.2474
# - Energy relative to the elements, uncorrected: -17.687 eV per formula unit
# - Total moment: 1.0 μB/f.u.

=====

# SmPu2NpSe4 (PBE-GGA, relaxed)
data_SmPu2NpSe4
_cell_length_a 7.127
_cell_length_b 4.114
_cell_length_c 7.233
_cell_angle_alpha 90.00
_cell_angle_beta 109.22
_cell_angle_gamma 90.00
_space_group_name_H-M_alt 'P 1 2/m 1'
_space_group_IT_number 10
_space_group_name_Hall '-P 2y'
loop_
_atom_site_label
_atom_site_fract_x
_atom_site_fract_y
_atom_site_fract_z
Sm1 0.000 0.000 0.000
Pu1 0.000 0.500 0.500
Pu2 0.500 0.000 0.500
Np1 0.500 0.500 0.000
Se1 0.252 0.000 0.750
Se2 0.252 0.500 0.252
# - Energy relative to the elements, uncorrected: -11.785 eV per formula unit
# - Total moment: 7.0 μB/f.u.

=====

# TaTePdN2 (PBE-GGA, relaxed)
data_TaTePdN2
_cell_length_a 3.973
_cell_length_b 3.973
_cell_length_c 5.967
_cell_angle_alpha 90.00
_cell_angle_beta 90.00
_cell_angle_gamma 90.00
_space_group_name_H-M_alt 'P 4/m m m'
_space_group_IT_number 123
_space_group_name_Hall '-P 4 2'
loop_
_atom_site_label
_atom_site_fract_x
_atom_site_fract_y
_atom_site_fract_z
Ta1 0.000 0.000 0.000
Te1 0.000 0.000 0.500
Pd1 0.500 0.500 0.500
N1 0.000 0.500 0.000
# - Energy relative to the elements, uncorrected: 1.586 eV per formula unit
# - Total moment: 0.0 μB/f.u.
# - Energy above the lowest structure with this stoichiometry: 0.00 eV per formula unit

=====

The uncorrected energy results, record by record, are as follows: -4.90; -9.01; -7.05 eV/atom.